1.
A geometry-optimized Zr3SeN3 structure, computed with PBE-GGA.

Cell: 6.343 6.343 7.592 Å, 65.31 65.31 60.00°
Element x y z (fractional)
N: 0.126 0.444 0.636
N: 0.795 0.126 0.636
N: 0.874 0.556 0.364
N: 0.556 0.205 0.364
N: 0.205 0.874 0.364
N: 0.444 0.795 0.636
Zr: 0.766 0.440 0.695
Zr: 0.560 0.900 0.305
Zr: 0.900 0.234 0.305
Zr: 0.100 0.766 0.695
Zr: 0.234 0.560 0.305
Zr: 0.440 0.100 0.695
Se: 0.333 0.333 0.002
Se: 0.667 0.667 0.998

## Properties
Crystal system: trigonal
Symmetry: R-3



2.
A geometry-optimized Zr2SeN2 structure, computed with PBE-GGA.

Cell: 3.676 3.676 6.704 Å, 90.00 90.00 120.00°
Element x y z (fractional)
Zr: 0.333 0.667 0.696
Zr: 0.667 0.333 0.304
N: 0.667 0.333 0.632
N: 0.333 0.667 0.368
Se: 0.000 0.000 0.000

## Properties
Crystal system: trigonal
Symmetry: P-3m1



Uncorrected formation energy, record by record: -1.460, -1.562 eV per atom